Entry 1:
Compound: Pr2DyLu
Source: Alexandria
Functional: GGA-PBE
Structure: optimized geometry

Calculated values
As for the space-group type: R-3m. Its total moment is 0.00 μB/cell. For the excess energy over the best structure of this formula in the dataset, the calculation gives 0 meV/atom. The calculation puts the formation energy at 18.9 meV/atom. Its density of states at the Fermi level is 4.30 states/eV/cell.

abc: 11.8285 11.8285 11.8285
angles: 17.59 17.59 17.59
Sites, in units of the cell vectors:
Pr1 0.2492 0.2492 0.2492
Pr2 0.7508 0.7508 0.7508
Dy1 0.0000 0.0000 0.0000
Lu1 0.5000 0.5000 0.5000

***

Entry 2:
Compound: HfZn2Cu
Source: Alexandria
Functional: GGA-PBE
Structure: optimized geometry

Calculated values
As for the space-group type: P4/mmm. Its total moment is 0.00 μB/cell. The calculation puts the formation energy at -99.5 meV/atom. Its density of states at the Fermi level is 1.91 states/eV/cell.

abc: 3.8789 3.8789 4.2517
angles: 90.00 90.00 90.00
Sites, in units of the cell vectors:
Hf1 0.0000 0.0000 0.0000
Zn1 0.0000 0.5000 0.5000
Zn2 0.5000 0.0000 0.5000
Cu1 0.5000 0.5000 0.0000

***

Entry 3:
Compound: TmBiI
Source: Alexandria
Functional: GGA-PBE
Structure: optimized geometry

Calculated values
As for the space-group type: P2_1/c. Its total moment is 0.00 μB/cell. For the excess energy over the best structure of this formula in the dataset, the calculation gives 0 meV/atom. Its density of states at the Fermi level is 0.13 states/eV/cell.

abc: 10.4528 6.0334 7.8522
angles: 90.00 98.93 90.00
Sites, in units of the cell vectors:
Tm1 0.1231 0.1657 0.3278
Tm2 0.1231 0.3343 0.8278
Tm3 0.8769 0.6657 0.1722
Tm4 0.8769 0.8343 0.6722
Bi1 0.1142 0.6553 0.4845
Bi2 0.1142 0.8447 0.9845
Bi3 0.8858 0.1553 0.0155
Bi4 0.8858 0.3447 0.5155
I1 0.3311 0.1312 0.6409
I2 0.3311 0.3688 0.1409
I3 0.6689 0.6312 0.8591
I4 0.6689 0.8688 0.3591

***

Entry 4:
Compound: LaCd2In
Source: Alexandria
Functional: GGA-PBE
Structure: optimized geometry

Calculated values
As for the space-group type: R-3m. Its total moment is 0.00 μB/cell. The calculation puts the formation energy at -66.9 meV/atom. Its density of states at the Fermi level is 2.47 states/eV/cell.

abc: 11.1639 11.1639 11.1639
angles: 17.42 17.42 17.42
Sites, in units of the cell vectors:
La1 0.0000 0.0000 0.0000
Cd1 0.2457 0.2457 0.2457
Cd2 0.7543 0.7543 0.7543
In1 0.5000 0.5000 0.5000

***

Entry 5:
Compound: Sc2Ir
Source: Alexandria
Functional: GGA-PBE
Structure: optimized geometry

Calculated values
As for the space-group type: Fm-3m. Its total moment is 0.00 μB/cell. The calculation puts the formation energy at -713.0 meV/atom. Its density of states at the Fermi level is 3.57 states/eV/cell.

abc: 4.5125 4.5125 4.5125
angles: 60.00 60.00 60.00
Sites, in units of the cell vectors:
Sc1 0.2500 0.2500 0.2500
Sc2 0.7500 0.7500 0.7500
Ir1 0.0000 0.0000 0.0000

***

Entry 6:
Compound: KMg4Sb3
Source: Alexandria
Functional: GGA-PBE
Structure: optimized geometry

Calculated values
As for the space-group type: R-3m. The calculated total energy comes out at -2.95 eV per atom. Its total moment is 0.00 μB/cell.

abc: 13.0052 13.0052 13.0052
angles: 21.10 21.10 21.10
Sites, in units of the cell vectors:
K1 0.0000 0.0000 0.0000
Mg1 0.1980 0.1980 0.1980
Mg2 0.4148 0.4148 0.4148
Mg3 0.5852 0.5852 0.5852
Mg4 0.8020 0.8020 0.8020
Sb1 0.2706 0.2706 0.2706
Sb2 0.5000 0.5000 0.5000
Sb3 0.7294 0.7294 0.7294

***

> total moment of number 2 (HfZn2Cu)?

0.00 μB/cell